[1]
PBE Tl2B2AsO6, optimized geometry; density of states at the Fermi level = 1.34 states/eV per cell; E = -68.89 eV per cell; ΔE_f (raw) = -16.41 eV/f.u.; crystal system = trigonal
1.0
5.115 0.000 0.000
-2.557 4.426 -0.170
0.000 -2.664 7.532
Tl B As O
2 2 1 6
Direct
0.721 0.443 0.163
0.279 0.557 0.837
0.883 0.767 0.650
0.117 0.233 0.350
0.500 0.000 0.500
0.732 0.465 0.666
0.268 0.067 0.334
0.201 0.933 0.666
0.732 0.933 0.666
0.799 0.067 0.334
0.268 0.535 0.334



[2]
PBE Pu2AlTe6, optimized geometry; density of states at the Fermi level = 52.76 states/eV per cell; E = -110.57 eV per cell; ΔE_f (raw) = -4.03 eV/f.u.; crystal system = tetragonal
1.0
6.931 0.000 0.000
0.000 6.931 0.000
0.000 0.000 13.331
Pu Al Te
4 2 12
Direct
0.000 0.000 0.334
0.500 0.500 0.834
0.500 0.500 0.166
0.000 0.000 0.666
0.000 0.000 0.000
0.500 0.500 0.500
0.307 0.307 0.345
0.693 0.693 0.345
0.193 0.807 0.845
0.807 0.193 0.845
0.193 0.807 0.155
0.807 0.193 0.155
0.307 0.307 0.655
0.693 0.693 0.655
0.289 0.289 0.000
0.711 0.711 0.000
0.211 0.789 0.500
0.789 0.211 0.500



[3]
PBE LaPm4Al2, optimized geometry; density of states at the Fermi level = 13.81 states/eV per cell; E = -64.15 eV per cell; formation energy from the elements = -0.094 eV per atom; offset from the most stable computed form = 0.0 meV/atom; crystal system = monoclinic
1.0
10.682 0.000 0.000
0.000 6.560 -2.257
0.000 -0.257 6.233
Pm Al La
8 4 2
Direct
0.840 0.500 0.001
0.710 0.500 0.501
0.790 0.000 0.501
0.660 0.000 0.001
0.340 0.000 0.999
0.210 0.000 0.499
0.290 0.500 0.499
0.160 0.500 0.999
0.000 0.675 0.470
0.000 0.325 0.530
0.500 0.825 0.530
0.500 0.175 0.470
0.000 0.000 0.000
0.500 0.500 0.000



[4]
PBE LaTiAlPbO6, optimized geometry; density of states at the Fermi level = 0.00 states/eV per cell; E = -77.69 eV per cell; ΔE_f (raw) = -27.67 eV/f.u.; offset from the most stable computed form = 8.5 meV/atom; crystal system = cubic
1.0
5.501 0.000 0.000
2.751 4.764 0.000
2.751 1.588 4.492
La Ti Al Pb O
1 1 1 1 6
Direct
0.500 0.500 0.500
0.250 0.250 0.250
0.750 0.750 0.750
0.000 0.000 0.000
0.503 0.503 0.997
0.997 0.997 0.503
0.997 0.503 0.503
0.503 0.997 0.997
0.997 0.503 0.997
0.503 0.997 0.503



[5]
PBE Na2Mn2VTe6, optimized geometry; density of states at the Fermi level = 4.80 states/eV per cell; E = -53.53 eV per cell; ΔE_f (raw) = -4.59 eV/f.u.; crystal system = monoclinic
1.0
6.879 -0.003 0.040
-3.402 5.979 0.040
-1.237 -2.126 7.627
Na Mn V Te
2 2 1 6
Direct
0.832 0.168 0.000
0.168 0.832 0.000
0.332 0.668 0.500
0.668 0.332 0.500
0.000 0.000 0.500
0.733 0.733 0.699
0.068 0.402 0.700
0.267 0.267 0.301
0.402 0.068 0.700
0.932 0.598 0.300
0.598 0.932 0.300



[6]
PBE Zn2SbPt, optimized geometry; density of states at the Fermi level = 1.20 states/eV per cell; E = -12.90 eV per cell; ΔE_f (raw) = -0.19 eV/f.u.; crystal system = orthorhombic
1.0
-3.695 3.067 -0.931
-1.725 -4.500 0.836
-0.227 0.656 3.062
Pt Sb Zn
1 1 2
Direct
0.500 0.000 0.500
0.000 0.500 0.500
0.000 0.000 0.000
0.500 0.500 0.000



Which value of E does entry 3 give?
-64.15 eV per cell



density of states at the Fermi level of number 5 (Na2Mn2VTe6)?
4.80 states/eV per cell



What is the E in the first record?
-68.89 eV per cell



The highest density of states at the Fermi level belongs to which entry?
Pu2AlTe6